Entry 1:
Compound: Th2InCu
Source: Alexandria via LeMat-Bulk
Functional: PBE
Structure: optimized geometry

a = 4.799 Å, b = 4.799 Å, c = 4.478 Å
α = 90.00°, β = 90.00°, γ = 90.00°
Space group P4/mmm (No. 123)
One atom of each set of equivalent atoms:
1 Th 0.000 0.500 0.000 x2
2 In 0.000 0.000 0.500 x1
3 Cu 0.500 0.500 0.500 x1

Values from the calculation:
- E above lowest polymorph: 89 meV per atom
- Formation energy from the elements: -77 meV/atom
- Crystal system: tetragonal

Entry 2:
Compound: K3IrPb2O6
Source: Alexandria via LeMat-Bulk
Functional: PBE
Structure: optimized geometry

a = 6.185 Å, b = 10.702 Å, c = 6.387 Å
α = 90.00°, β = 109.01°, γ = 90.00°
Space group C2/m (No. 12)
One atom of each set of equivalent atoms:
1 K 0.000 0.000 0.000 x2
2 K 0.000 0.336 0.000 x4
3 Ir 0.000 0.500 0.500 x2
4 Pb 0.000 0.167 0.500 x4
5 O 0.201 0.361 0.687 x8
6 O 0.217 0.500 0.316 x4

Values from the calculation:
- Energy relative to the elements, uncorrected: -1135 meV per atom
- Crystal system: monoclinic

Entry 3:
Compound: ZrSnTe2Ir
Source: Alexandria via LeMat-Bulk
Functional: PBE
Structure: optimized geometry

a = 5.300 Å, b = 5.300 Å, c = 5.075 Å
α = 90.00°, β = 90.00°, γ = 90.00°
Space group P4/mmm (No. 123)
One atom of each set of equivalent atoms:
1 Zr 0.000 0.000 0.000 x1
2 Sn 0.500 0.500 0.000 x1
3 Te 0.000 0.500 0.500 x2
4 Ir 0.000 0.000 0.500 x1

Values from the calculation:
- Energy relative to the elements, uncorrected: 318 meV per atom
- Crystal system: tetragonal

Q: Which formula does entry 3 have?
A: ZrSnTe2Ir